12
Lattice="4.306 0.000 0.000 -2.153 3.729 0.000 0.000 0.000 23.763" Properties=species:S:1:pos:R:3 comment="PBE-GGA UCdAs2, optimized geometry" e_tot_ev_per_atom=-5.505 vol_a3_per_atom=31.80 e_form_ev_per_atom=-0.130 density_g_cm3=6.53 e_above_lowest_polymorph_kj_per_mol_atoms=28.3 sg="R-3m, No. 166" pbc="T T T"
U 0.000 0.000 0.000
U 0.000 2.486 15.842
U 2.153 1.243 7.921
Cd 0.000 0.000 11.882
Cd 0.000 2.486 3.961
Cd 2.153 1.243 19.803
As 0.000 0.000 9.345
As 0.000 0.000 14.418
As 0.000 2.486 1.424
As 0.000 2.486 6.497
As 2.153 1.243 17.267
As 2.153 1.243 22.339